Below is an optimized crystal structure of LaSm3Er, with properties calculated at the PBE-GGA level.

Summary:
* calculated total energy: -4.70 eV/atom
* spin magnetization: 0.0 μB per formula unit
* energy of formation: 0.028 eV/atom
* symmetry: P-1 (2)
* N(E_F): 17.12 states/eV/cell

Unit cell a=6.363 b=6.892 c=9.397 alpha=71.62 beta=89.95 gamma=62.54
Atoms (fractional coordinates):
La  0.131  0.399  0.347
La  0.869  0.601  0.653
Sm  0.069  0.196  0.047
Sm  0.267  0.797  0.448
Sm  0.335  0.996  0.751
Sm  0.665  0.004  0.249
Sm  0.733  0.203  0.552
Sm  0.931  0.804  0.953
Er  0.465  0.399  0.854
Er  0.535  0.601  0.146